[1]
Density functional theory data (GGA-PBE) for crystalline Pr2Cd13 at its relaxed geometry.

Calculated values
The calculation puts the total energy at -22.14 eV for the cell shown. The energy of formation from the pure elements comes out at -0.0458 eV per atom. The size of the total moment is 0.0 μB/f.u. The value obtained for the volume is 388 Å³/f.u.

a b c (Å): 8.480 8.480 8.480
angles (deg): 55.72 55.72 55.72
Fractional coordinates of all 15 atoms:
Pr (0.158, 0.158, 0.158)
Pr (0.842, 0.842, 0.842)
Cd (0.000, 0.000, 0.000)
Cd (0.154, 0.154, 0.545)
Cd (0.154, 0.545, 0.154)
Cd (0.312, 0.312, 0.676)
Cd (0.312, 0.676, 0.312)
Cd (0.324, 0.688, 0.688)
Cd (0.455, 0.846, 0.846)
Cd (0.545, 0.154, 0.154)
Cd (0.676, 0.312, 0.312)
Cd (0.688, 0.324, 0.688)
Cd (0.688, 0.688, 0.324)
Cd (0.846, 0.455, 0.846)
Cd (0.846, 0.846, 0.455)

[2]
Density functional theory data (GGA-PBE) for crystalline Zr2InCu at its relaxed geometry.

Calculated values
The calculation puts the total energy at -99.36 eV for the cell shown. The energy of formation from the pure elements comes out at -0.2275 eV per atom. The size of the total moment is 0.0 μB/f.u. The value obtained for the volume is 79 Å³/f.u.

a b c (Å): 4.444 4.444 16.002
angles (deg): 90.00 90.00 90.00
Fractional coordinates of all 16 atoms:
Zr (0.000, 0.000, 0.146)
Zr (0.000, 0.000, 0.854)
Zr (0.000, 0.500, 0.000)
Zr (0.000, 0.500, 0.500)
Zr (0.500, 0.000, 0.000)
Zr (0.500, 0.000, 0.500)
Zr (0.500, 0.500, 0.354)
Zr (0.500, 0.500, 0.646)
In (0.000, 0.000, 0.358)
In (0.000, 0.000, 0.642)
In (0.500, 0.500, 0.142)
In (0.500, 0.500, 0.858)
Cu (0.000, 0.500, 0.250)
Cu (0.000, 0.500, 0.750)
Cu (0.500, 0.000, 0.250)
Cu (0.500, 0.000, 0.750)